Version one
Material: CaPdN2
Method: DFT, meta-GGA SCAN
State: single point on PBEsol structure

Lattice parameters (Å, degrees): 3.3501 3.3501 6.3022 74.59 74.59 60.00
With the nearest neighbours (Å) after each atom.
Element x y z (fractional)
Ca 0.0000 0.0000 0.0000  2 N 2.18
Pd 0.5000 0.5000 0.5000  6 N 2.10
N 0.8788 0.8788 0.3637  3 Pd 2.10, 1 Ca 2.18
N 0.1212 0.1212 0.6363  3 Pd 2.10, 1 Ca 2.18

magnetic moment	0.0001	μB per atom
calculated density	4.97	Mg/m³
DOS(E_F)	2.25	states/eV/cell
symmetry	R-3m (166)

***

Version two
Material: CaPdN2
Method: DFT, meta-GGA SCAN
State: single point on PBEsol structure

Lattice parameters (Å, degrees): 3.9832 3.9832 3.9832 60.00 60.00 60.00
With the nearest neighbours (Å) after each atom.
Element x y z (fractional)
Ca 0.0000 0.0000 0.0000  8 N 2.44
Pd 0.5000 0.5000 0.5000  8 N 2.44
N 0.2500 0.2500 0.2500  4 Pd 2.44, 4 Ca 2.44
N 0.7500 0.7500 0.7500  4 Ca 2.44, 4 Pd 2.44

magnetic moment	0.0000	μB per atom
calculated density	6.48	Mg/m³
DOS(E_F)	2.82	states/eV/cell
symmetry	Fm-3m (225)

***

Calculated relative energies: version one 19.9; version two 0.0, given in kJ/mol of atoms